1.
# Li2InSiSe4 GGA-PBE optimized geometry
# Total energy (eV per cell): -31.53
# Energy relative to the elements, uncorrected (meV per atom): -700.4
# Volume (Å³ per atom): 26.46
data_Li2InSiSe4
_chemical_formula_sum 'Li2 In1 Si1 Se4'
_cell_length_a 5.9740
_cell_length_b 5.9732
_cell_length_c 7.2816
_cell_angle_alpha 114.23
_cell_angle_beta 114.21
_cell_angle_gamma 90.00
_space_group_name_H-M_alt 'P 1'
_space_group_IT_number 1
loop_
_space_group_symop_operation_xyz
'x,y,z'
loop_
_atom_site_label
_atom_site_type_symbol
_atom_site_fract_x
_atom_site_fract_y
_atom_site_fract_z
Se1 Se 0.0925 0.0481 0.6917
Se2 Se 0.4240 0.8727 0.2520
Se3 Se 0.5991 0.6436 0.6916
Se4 Se 0.8282 0.3792 0.2519
Li1 Li 0.2358 0.2357 0.4717
Li2 Li 0.4858 0.9858 0.9717
Si1 Si 0.7360 0.7359 0.4718
In1 In 0.9858 0.4860 0.9717

2.
# Ho2PuFe GGA-PBE optimized geometry
# Total energy (eV per cell): -30.49
# Excess energy over the best structure of this formula in the dataset (meV/atom): 434
# ΔH_f (0 K) (kJ/mol of atoms): 35.2
# Volume (Å³ per atom): 23.37
data_Ho2PuFe
_chemical_formula_sum 'Ho2 Pu1 Fe1'
_cell_length_a 5.0940
_cell_length_b 5.0940
_cell_length_c 5.0951
_cell_angle_alpha 60.01
_cell_angle_beta 60.01
_cell_angle_gamma 60.00
_space_group_name_H-M_alt 'P 1'
_space_group_IT_number 1
loop_
_space_group_symop_operation_xyz
'x,y,z'
loop_
_atom_site_label
_atom_site_type_symbol
_atom_site_fract_x
_atom_site_fract_y
_atom_site_fract_z
Pu1 Pu 0.0000 0.0000 0.0000
Ho1 Ho 0.2500 0.2500 0.2501
Ho2 Ho 0.7500 0.7500 0.7499
Fe1 Fe 0.5000 0.5000 0.5000

3.
# Li3AcS3 GGA-PBE optimized geometry
# Total energy (eV per cell): -66.75
# Energy relative to the elements, uncorrected (meV per atom): -1591.7
# Volume (Å³ per atom): 22.62
data_Li3AcS3
_chemical_formula_sum 'Li6 Ac2 S6'
_cell_length_a 7.2760
_cell_length_b 7.2760
_cell_length_c 8.0853
_cell_angle_alpha 63.26
_cell_angle_beta 63.26
_cell_angle_gamma 60.00
_space_group_name_H-M_alt 'P 1'
_space_group_IT_number 1
loop_
_space_group_symop_operation_xyz
'x,y,z'
loop_
_atom_site_label
_atom_site_type_symbol
_atom_site_fract_x
_atom_site_fract_y
_atom_site_fract_z
Ac1 Ac 0.6665 0.6665 0.0004
Ac2 Ac 0.3335 0.3335 0.9996
Li1 Li 0.5735 0.1857 0.3763
Li2 Li 0.1355 0.4265 0.6237
Li3 Li 0.1857 0.8645 0.3763
Li4 Li 0.8143 0.1355 0.6237
Li5 Li 0.4265 0.8143 0.6237
Li6 Li 0.8645 0.5735 0.3763
S1 S 0.4487 0.0856 0.7331
S2 S 0.9144 0.2674 0.2669
S3 S 0.7326 0.4487 0.7331
S4 S 0.0856 0.7326 0.7331
S5 S 0.2674 0.5513 0.2669
S6 S 0.5513 0.9144 0.2669

4.
# MgSi4Ag GGA-PBE optimized geometry
# Total energy (eV per cell): -24.18
# Energy relative to the elements, uncorrected (meV per atom): 326.3
# Volume (Å³ per atom): 16.46
data_MgSi4Ag
_chemical_formula_sum 'Mg1 Si4 Ag1'
_cell_length_a 5.1887
_cell_length_b 5.1887
_cell_length_c 5.1887
_cell_angle_alpha 60.00
_cell_angle_beta 60.00
_cell_angle_gamma 60.00
_space_group_name_H-M_alt 'P 1'
_space_group_IT_number 1
loop_
_space_group_symop_operation_xyz
'x,y,z'
loop_
_atom_site_label
_atom_site_type_symbol
_atom_site_fract_x
_atom_site_fract_y
_atom_site_fract_z
Si1 Si 0.3747 0.3747 0.8759
Si2 Si 0.3747 0.3747 0.3747
Si3 Si 0.8759 0.3747 0.3747
Si4 Si 0.3747 0.8759 0.3747
Mg1 Mg 0.0000 0.0000 0.0000
Ag1 Ag 0.7500 0.7500 0.7500

5.
# ZrCo2Rh GGA-PBE optimized geometry
# Total energy (eV per cell): -29.03
# ΔH_f (0 K) (kJ/mol of atoms): 26.2
# Volume (Å³ per atom): 14.85
data_ZrCo2Rh
_chemical_formula_sum 'Zr1 Co2 Rh1'
_cell_length_a 9.0359
_cell_length_b 9.0359
_cell_length_c 9.0359
_cell_angle_alpha 17.68
_cell_angle_beta 17.68
_cell_angle_gamma 17.68
_space_group_name_H-M_alt 'P 1'
_space_group_IT_number 1
loop_
_space_group_symop_operation_xyz
'x,y,z'
loop_
_atom_site_label
_atom_site_type_symbol
_atom_site_fract_x
_atom_site_fract_y
_atom_site_fract_z
Rh1 Rh 0.7500 0.7500 0.7500
Co1 Co 0.4932 0.4932 0.4932
Co2 Co 0.0068 0.0068 0.0068
Zr1 Zr 0.2500 0.2500 0.2500

6.
# MnAl2Mo GGA-PBE optimized geometry
# Total energy (eV per cell): -28.11
# ΔH_f (0 K) (kJ/mol of atoms): -15.0
# Volume (Å³ per atom): 14.78
data_MnAl2Mo
_chemical_formula_sum 'Mn1 Al2 Mo1'
_cell_length_a 6.2667
_cell_length_b 4.7332
_cell_length_c 2.7616
_cell_angle_alpha 90.09
_cell_angle_beta 63.70
_cell_angle_gamma 122.19
_space_group_name_H-M_alt 'P 1'
_space_group_IT_number 1
loop_
_space_group_symop_operation_xyz
'x,y,z'
loop_
_atom_site_label
_atom_site_type_symbol
_atom_site_fract_x
_atom_site_fract_y
_atom_site_fract_z
Al1 Al 0.0000 0.0000 0.0000
Al2 Al 0.5000 0.0000 0.5000
Mn1 Mn 0.0000 0.5000 0.5000
Mo1 Mo 0.5000 0.5000 0.0000

7.
# Li4Ge3Pd4 GGA-PBE optimized geometry
# Total energy (eV per cell): -47.24
# ΔH_f (0 K) (kJ/mol of atoms): -43.5
# Volume (Å³ per atom): 14.97
data_Li4Ge3Pd4
_chemical_formula_sum 'Li4 Ge3 Pd4'
_cell_length_a 2.8758
_cell_length_b 4.3620
_cell_length_c 13.3120
_cell_angle_alpha 80.70
_cell_angle_beta 88.34
_cell_angle_gamma 90.03
_space_group_name_H-M_alt 'P 1'
_space_group_IT_number 1
loop_
_space_group_symop_operation_xyz
'x,y,z'
loop_
_atom_site_label
_atom_site_type_symbol
_atom_site_fract_x
_atom_site_fract_y
_atom_site_fract_z
Li1 Li 0.3297 0.4462 0.1071
Li2 Li 0.6704 0.5538 0.8929
Li3 Li 0.7378 0.1798 0.6417
Li4 Li 0.2621 0.8202 0.3583
Pd1 Pd 0.7430 0.7285 0.5445
Pd2 Pd 0.7894 0.9069 0.1851
Pd3 Pd 0.2567 0.2716 0.4556
Pd4 Pd 0.2106 0.0931 0.8149
Ge1 Ge 0.2227 0.6461 0.7080
Ge2 Ge 0.0005 0.0000 0.0000
Ge3 Ge 0.7771 0.3539 0.2920

8.
# NaTl GGA-PBE optimized geometry
# Total energy (eV per cell): -16.81
# ΔH_f (0 K) (kJ/mol of atoms): 42.6
# Volume (Å³ per atom): 55.49
data_NaTl
_chemical_formula_sum 'Na6 Tl6'
_cell_length_a 8.7325
_cell_length_b 8.7325
_cell_length_c 8.7325
_cell_angle_alpha 90.00
_cell_angle_beta 90.00
_cell_angle_gamma 90.00
_space_group_name_H-M_alt 'P 1'
_space_group_IT_number 1
loop_
_space_group_symop_operation_xyz
'x,y,z'
loop_
_atom_site_label
_atom_site_type_symbol
_atom_site_fract_x
_atom_site_fract_y
_atom_site_fract_z
Na1 Na 0.0000 0.5000 0.2500
Na2 Na 0.2500 0.0000 0.5000
Na3 Na 0.5000 0.2500 0.0000
Na4 Na 0.7500 0.0000 0.5000
Na5 Na 0.5000 0.7500 0.0000
Na6 Na 0.0000 0.5000 0.7500
Tl1 Tl 0.2500 0.5000 0.0000
Tl2 Tl 0.5000 0.0000 0.2500
Tl3 Tl 0.0000 0.2500 0.5000
Tl4 Tl 0.0000 0.7500 0.5000
Tl5 Tl 0.7500 0.5000 0.0000
Tl6 Tl 0.5000 0.0000 0.7500

9.
# Dy2UTc3 GGA-PBE optimized geometry
# Total energy (eV per cell): -102.87
# ΔH_f (0 K) (kJ/mol of atoms): 2.5
# Volume (Å³ per atom): 22.89
data_Dy2UTc3
_chemical_formula_sum 'Dy4 U2 Tc6'
_cell_length_a 4.8645
_cell_length_b 7.7440
_cell_length_c 7.7441
_cell_angle_alpha 109.70
_cell_angle_beta 90.00
_cell_angle_gamma 90.00
_space_group_name_H-M_alt 'P 1'
_space_group_IT_number 1
loop_
_space_group_symop_operation_xyz
'x,y,z'
loop_
_atom_site_label
_atom_site_type_symbol
_atom_site_fract_x
_atom_site_fract_y
_atom_site_fract_z
Dy1 Dy 0.7500 0.8260 0.5159
Dy2 Dy 0.2500 0.4841 0.1740
Dy3 Dy 0.7500 0.5159 0.8260
Dy4 Dy 0.2500 0.1740 0.4841
Tc1 Tc 0.2500 0.6001 0.6001
Tc2 Tc 0.0000 0.8377 0.1623
Tc3 Tc 0.0000 0.1623 0.8377
Tc4 Tc 0.5000 0.8377 0.1623
Tc5 Tc 0.5000 0.1623 0.8377
Tc6 Tc 0.7500 0.3999 0.3999
U1 U 0.2500 0.8481 0.8481
U2 U 0.7500 0.1519 0.1519

10.
# Ba3Cd2As4 GGA-PBE optimized geometry
# Total energy (eV per cell): -33.84
# ΔH_f (0 K) (kJ/mol of atoms): -81.9
# Volume (Å³ per atom): 30.70
data_Ba3Cd2As4
_chemical_formula_sum 'Ba3 Cd2 As4'
_cell_length_a 4.6520
_cell_length_b 7.4162
_cell_length_c 8.9477
_cell_angle_alpha 111.25
_cell_angle_beta 105.07
_cell_angle_gamma 90.00
_space_group_name_H-M_alt 'P 1'
_space_group_IT_number 1
loop_
_space_group_symop_operation_xyz
'x,y,z'
loop_
_atom_site_label
_atom_site_type_symbol
_atom_site_fract_x
_atom_site_fract_y
_atom_site_fract_z
Ba1 Ba 0.8577 0.4211 0.7154
Ba2 Ba 0.0000 0.0000 0.0000
Ba3 Ba 0.1423 0.5789 0.2846
As1 As 0.4950 0.3260 0.9899
As2 As 0.2068 0.1923 0.4137
As3 As 0.7932 0.8077 0.5863
As4 As 0.5050 0.6740 0.0101
Cd1 Cd 0.3309 0.0290 0.6617
Cd2 Cd 0.6691 0.9710 0.3383

11.
# Pm3Te2Pt GGA-PBE optimized geometry
# Total energy (eV per cell): -34.35
# Excess energy over the best structure of this formula in the dataset (meV/atom): 30
# Energy relative to the elements, uncorrected (meV per atom): -1296.3
# Volume (Å³ per atom): 30.21
data_Pm3Te2Pt
_chemical_formula_sum 'Pm3 Te2 Pt1'
_cell_length_a 4.2396
_cell_length_b 6.3138
_cell_length_c 7.7659
_cell_angle_alpha 113.99
_cell_angle_beta 105.84
_cell_angle_gamma 90.00
_space_group_name_H-M_alt 'P 1'
_space_group_IT_number 1
loop_
_space_group_symop_operation_xyz
'x,y,z'
loop_
_atom_site_label
_atom_site_type_symbol
_atom_site_fract_x
_atom_site_fract_y
_atom_site_fract_z
Te1 Te 0.6763 0.1763 0.3526
Te2 Te 0.3237 0.8237 0.6474
Pt1 Pt 0.0000 0.5000 0.0000
Pm1 Pm 0.6410 0.6410 0.2820
Pm2 Pm 0.0000 0.0000 0.0000
Pm3 Pm 0.3590 0.3590 0.7180

12.
# Li3ZnFe GGA-PBE optimized geometry
# Total energy (eV per cell): -12.01
# Excess energy over the best structure of this formula in the dataset (meV/atom): 0
# ΔH_f (0 K) (kJ/mol of atoms): 66.9
# Volume (Å³ per atom): 19.19
data_Li3ZnFe
_chemical_formula_sum 'Li3 Zn1 Fe1'
_cell_length_a 4.5780
_cell_length_b 4.5780
_cell_length_c 4.5780
_cell_angle_alpha 90.00
_cell_angle_beta 90.00
_cell_angle_gamma 90.00
_space_group_name_H-M_alt 'P 1'
_space_group_IT_number 1
loop_
_space_group_symop_operation_xyz
'x,y,z'
loop_
_atom_site_label
_atom_site_type_symbol
_atom_site_fract_x
_atom_site_fract_y
_atom_site_fract_z
Zn1 Zn 0.0000 0.0000 0.0000
Li1 Li 0.0000 0.0000 0.5000
Li2 Li 0.5000 0.0000 0.0000
Li3 Li 0.0000 0.5000 0.0000
Fe1 Fe 0.5000 0.5000 0.5000

What did the eleventh record say?
# Pm3Te2Pt GGA-PBE optimized geometry
# Total energy (eV per cell): -34.35
# Excess energy over the best structure of this formula in the dataset (meV/atom): 30
# Energy relative to the elements, uncorrected (meV per atom): -1296.3
# Volume (Å³ per atom): 30.21
data_Pm3Te2Pt
_chemical_formula_sum 'Pm3 Te2 Pt1'
_cell_length_a 4.2396
_cell_length_b 6.3138
_cell_length_c 7.7659
_cell_angle_alpha 113.99
_cell_angle_beta 105.84
_cell_angle_gamma 90.00
_space_group_name_H-M_alt 'P 1'
_space_group_IT_number 1
loop_
_space_group_symop_operation_xyz
'x,y,z'
loop_
_atom_site_label
_atom_site_type_symbol
_atom_site_fract_x
_atom_site_fract_y
_atom_site_fract_z
Te1 Te 0.6763 0.1763 0.3526
Te2 Te 0.3237 0.8237 0.6474
Pt1 Pt 0.0000 0.5000 0.0000
Pm1 Pm 0.6410 0.6410 0.2820
Pm2 Pm 0.0000 0.0000 0.0000
Pm3 Pm 0.3590 0.3590 0.7180